[1]
# KLaOs2

A relaxed KLaOs2 crystal (GGA-PBE, Alexandria).

The polymorph energy (0 for the lowest one) comes out at 793 meV per atom.

It has space group I-42d (No. 122), with a = 4.646 Å, b = 4.646 Å, c = 20.375 Å, α = 90.00°, β = 90.00° and γ = 90.00°. The asymmetric unit holds K at (0.000, 0.000, 0.000), La at (0.000, 0.000, 0.500) and Os at (0.102, 0.250, 0.625).



[2]
# KLaOs3

A relaxed KLaOs3 crystal (GGA-PBE, Alexandria).

The polymorph energy (0 for the lowest one) comes out at 0 meV per atom.

It has space group Pm-3m (No. 221), with a = 5.066 Å, b = 5.066 Å, c = 5.066 Å, α = 90.00°, β = 90.00° and γ = 90.00°. The asymmetric unit holds K at (0.000, 0.000, 0.000), La at (0.500, 0.500, 0.500) and Os at (0.000, 0.500, 0.500).



[3]
# K2LaOs

A relaxed K2LaOs crystal (GGA-PBE, Alexandria).

The polymorph energy (0 for the lowest one) comes out at 0 meV per atom.

It has space group Immm (No. 71), with a = 3.529 Å, b = 4.516 Å, c = 20.556 Å, α = 90.00°, β = 90.00° and γ = 90.00°. The asymmetric unit holds K at (0.000, 0.000, 0.153), La at (0.000, 0.500, 0.000) and Os at (0.000, 0.500, 0.500).



[4]
# KLaOs4

A relaxed KLaOs4 crystal (GGA-PBE, Alexandria).

It has space group F-43m (No. 216), with a = 7.727 Å, b = 7.727 Å, c = 7.727 Å, α = 90.00°, β = 90.00° and γ = 90.00°. The asymmetric unit holds K at (0.000, 0.000, 0.000), La at (0.250, 0.250, 0.750) and Os at (0.125, 0.125, 0.375).



[5]
# KLa2Os

A relaxed KLa2Os crystal (GGA-PBE, Alexandria).

The polymorph energy (0 for the lowest one) comes out at 326 meV per atom.

It has space group Cm (No. 8), with a = 12.994 Å, b = 3.941 Å, c = 7.137 Å, α = 90.00°, β = 119.56° and γ = 90.00°. The asymmetric unit holds K at (0.000, 0.000, 0.000), La at (0.181, 0.000, 0.658), La at (0.348, 0.000, 0.375) and Os at (0.225, 0.500, 0.448).



[6]
# K2LaOs

A relaxed K2LaOs crystal (GGA-PBE, Alexandria).

The polymorph energy (0 for the lowest one) comes out at 796 meV per atom.

It has space group P4/mmm (No. 123), with a = 3.002 Å, b = 3.002 Å, c = 13.059 Å, α = 90.00°, β = 90.00° and γ = 90.00°. The asymmetric unit holds K at (0.000, 0.000, 0.199), La at (0.500, 0.500, 0.500) and Os at (0.500, 0.500, 0.000).



The records above give, respectively, uncorrected energy values of -24.07, -26.94, -16.55, -47.41, -21.04, -13.36 eV/f.u..
The records above give, respectively, spin magnetization values of 0.0, 3.8, 0.0, 1.6, 0.0, 0.9 μB/f.u..
The records above give, respectively, formation enthalpy at 0 K values of 1105, 2554, 451, 589, 286, 1247 meV per atom.